Density functional theory data (GGA+U) for K3Ac2FeO6 after structural relaxation.

Properties
- spin magnetization (μB per formula unit) = 5.041
- V (Å³/f.u.) = 214.82
- total energy (eV per atom) = -6.016
- space-group type = C2/m (12)
- mass density (Mg/m³) = 5.59

Lattice parameters (Å, degrees): 6.281 6.281 6.621 98.81 98.81 120.22
Element x y z (fractional)
O1 0.766 0.766 0.185
O2 0.234 0.234 0.815
O3 0.646 0.938 0.811
O4 0.938 0.646 0.811
O5 0.062 0.354 0.189
O6 0.354 0.062 0.189
K1 0.500 0.500 0.500
K2 0.153 0.847 0.500
K3 0.847 0.153 0.500
Ac1 0.333 0.667 0.000
Ac2 0.667 0.333 0.000
Fe1 0.000 0.000 0.000